(1)
{
  "formula": "Mg3BMo",
  "functional": "meta-GGA SCAN",
  "state": "PBEsol geometry",
  "formation_enthalpy_0k_kj_per_mol_fu": 966,
  "total_magnetization_mub_per_cell": 2.505,
  "total_energy_ev_per_atom": -9.45,
  "cell": [[5.1426, 0.0000, 0.0000], [0.0000, 5.1426, 0.0000], [0.0000, 0.0000, 5.1426]],
  "species": ["Mg", "Mg", "Mg", "B", "Mo"],
  "frac_coords": [[0.0000, 0.0000, 0.5000], [0.0000, 0.5000, 0.0000], [0.5000, 0.0000, 0.0000], [0.5000, 0.5000, 0.5000], [0.0000, 0.0000, 0.0000]]
}

(2)
{
  "formula": "Ba2Tl2Cd",
  "functional": "meta-GGA SCAN",
  "state": "PBEsol geometry",
  "formation_enthalpy_0k_kj_per_mol_fu": -120,
  "total_magnetization_mub_per_cell": 0.000,
  "total_energy_ev_per_atom": -51.09,
  "cell": [[6.7047, 0.0000, 0.0000], [0.0000, 6.7047, 0.0000], [0.0000, 0.0000, 8.8457]],
  "species": ["Ba", "Ba", "Ba", "Ba", "Tl", "Tl", "Tl", "Tl", "Cd", "Cd"],
  "frac_coords": [[0.0000, 0.5000, 0.2500], [0.0000, 0.5000, 0.7500], [0.5000, 0.0000, 0.2500], [0.5000, 0.0000, 0.7500], [0.0000, 0.0000, 0.1587], [0.0000, 0.0000, 0.8413], [0.5000, 0.5000, 0.3413], [0.5000, 0.5000, 0.6587], [0.0000, 0.0000, 0.5000], [0.5000, 0.5000, 0.0000]]
}

(3)
{
  "formula": "K4ZnP2",
  "functional": "meta-GGA SCAN",
  "state": "PBEsol geometry",
  "formation_enthalpy_0k_kj_per_mol_fu": -348,
  "total_magnetization_mub_per_cell": 0.000,
  "polymorph_energy_mev_per_atom": 0,
  "total_energy_ev_per_atom": -10.18,
  "cell": [[2.7862, 1.6086, 8.6369], [-2.7862, 1.6086, 8.6369], [0.0000, -3.2172, 8.6369]],
  "species": ["K", "K", "K", "K", "Zn", "P", "P"],
  "frac_coords": [[0.1150, 0.1150, 0.1150], [0.2915, 0.2915, 0.2915], [0.7085, 0.7085, 0.7085], [0.8850, 0.8850, 0.8850], [0.5000, 0.5000, 0.5000], [0.4152, 0.4152, 0.4152], [0.5848, 0.5848, 0.5848]]
}

(4)
{
  "formula": "Tl3SiCl",
  "functional": "meta-GGA SCAN",
  "state": "PBEsol geometry",
  "total_magnetization_mub_per_cell": 0.001,
  "total_energy_ev_per_atom": -46.53,
  "e_form_raw_ev_per_atom": 0.4824,
  "cell": [[5.5670, 0.0000, 0.0000], [0.0000, 5.5670, 0.0000], [0.0000, 0.0000, 5.5670]],
  "species": ["Tl", "Tl", "Tl", "Si", "Cl"],
  "frac_coords": [[0.0000, 0.0000, 0.5000], [0.0000, 0.5000, 0.0000], [0.5000, 0.0000, 0.0000], [0.5000, 0.5000, 0.5000], [0.0000, 0.0000, 0.0000]]
}

(5)
{
  "formula": "LaCrRh2",
  "functional": "meta-GGA SCAN",
  "state": "PBEsol geometry",
  "formation_enthalpy_0k_kj_per_mol_fu": 6,
  "total_magnetization_mub_per_cell": 15.278,
  "polymorph_energy_mev_per_atom": 166,
  "total_energy_ev_per_atom": -32.24,
  "cell": [[6.4694, 0.0000, 0.0000], [0.0000, 6.4694, 0.0000], [0.0000, 0.0000, 6.4694]],
  "species": ["La", "La", "La", "La", "Cr", "Cr", "Cr", "Cr", "Rh", "Rh", "Rh", "Rh", "Rh", "Rh", "Rh", "Rh"],
  "frac_coords": [[0.0000, 0.0000, 0.0000], [0.0000, 0.5000, 0.5000], [0.5000, 0.0000, 0.5000], [0.5000, 0.5000, 0.0000], [0.2500, 0.2500, 0.7500], [0.2500, 0.7500, 0.2500], [0.7500, 0.2500, 0.2500], [0.7500, 0.7500, 0.7500], [0.0000, 0.0000, 0.5000], [0.0000, 0.5000, 0.0000], [0.2500, 0.2500, 0.2500], [0.2500, 0.7500, 0.7500], [0.5000, 0.0000, 0.0000], [0.5000, 0.5000, 0.5000], [0.7500, 0.2500, 0.7500], [0.7500, 0.7500, 0.2500]]
}

(6)
{
  "formula": "In2NiAs",
  "functional": "meta-GGA SCAN",
  "state": "PBEsol geometry",
  "formation_enthalpy_0k_kj_per_mol_fu": -8,
  "total_magnetization_mub_per_cell": 0.000,
  "total_energy_ev_per_atom": -25.81,
  "cell": [[4.0029, 0.0000, 0.0000], [0.0000, 3.9343, 0.0000], [-1.9919, 0.0000, 4.8437]],
  "species": ["In", "In", "Ni", "As"],
  "frac_coords": [[0.0000, 0.0000, 0.0000], [0.2995, 0.5000, 0.6049], [0.5821, 0.5000, 0.1489], [0.7058, 0.0000, 0.4201]]
}

(7)
{
  "formula": "KCo2Os",
  "functional": "meta-GGA SCAN",
  "state": "PBEsol geometry",
  "formation_enthalpy_0k_kj_per_mol_fu": 319,
  "total_magnetization_mub_per_cell": 3.027,
  "polymorph_energy_mev_per_atom": 0,
  "total_energy_ev_per_atom": -27.88,
  "cell": [[2.6261, 0.0000, 0.0000], [0.0000, 2.6261, 0.0000], [0.0000, 0.0000, 8.8307]],
  "species": ["K", "Co", "Co", "Os"],
  "frac_coords": [[0.0000, 0.0000, 0.0000], [0.0000, 0.0000, 0.5127], [0.5000, 0.5000, 0.6841], [0.5000, 0.5000, 0.3169]]
}

(8)
{
  "formula": "AlPPt2",
  "functional": "meta-GGA SCAN",
  "state": "PBEsol geometry",
  "formation_enthalpy_0k_kj_per_mol_fu": -130,
  "total_magnetization_mub_per_cell": 0.000,
  "polymorph_energy_mev_per_atom": 306,
  "total_energy_ev_per_atom": -39.97,
  "cell": [[6.1270, 0.0000, 0.0000], [0.0000, 6.1270, 0.0000], [0.0000, 0.0000, 6.1270]],
  "species": ["Al", "Al", "Al", "Al", "P", "P", "P", "P", "Pt", "Pt", "Pt", "Pt", "Pt", "Pt", "Pt", "Pt"],
  "frac_coords": [[0.0000, 0.0000, 0.0000], [0.0000, 0.5000, 0.5000], [0.5000, 0.0000, 0.5000], [0.5000, 0.5000, 0.0000], [0.0000, 0.0000, 0.5000], [0.0000, 0.5000, 0.0000], [0.5000, 0.0000, 0.0000], [0.5000, 0.5000, 0.5000], [0.2500, 0.2500, 0.2500], [0.2500, 0.2500, 0.7500], [0.2500, 0.7500, 0.2500], [0.2500, 0.7500, 0.7500], [0.7500, 0.2500, 0.2500], [0.7500, 0.2500, 0.7500], [0.7500, 0.7500, 0.2500], [0.7500, 0.7500, 0.7500]]
}

(9)
{
  "formula": "K5P2Au",
  "functional": "meta-GGA SCAN",
  "state": "PBEsol geometry",
  "formation_enthalpy_0k_kj_per_mol_fu": -404,
  "total_magnetization_mub_per_cell": 0.000,
  "total_energy_ev_per_atom": -16.97,
  "cell": [[5.5918, 0.0000, 0.0000], [-2.7959, 4.8426, 0.0000], [0.0000, 0.0000, 18.5337]],
  "species": ["K", "K", "K", "K", "K", "K", "K", "K", "K", "K", "P", "P", "P", "P", "Au", "Au"],
  "frac_coords": [[0.0000, 0.0000, 0.1447], [0.0000, 0.0000, 0.3553], [0.0000, 0.0000, 0.6447], [0.0000, 0.0000, 0.8553], [0.3333, 0.6667, 0.0488], [0.3333, 0.6667, 0.2500], [0.3333, 0.6667, 0.4512], [0.6667, 0.3333, 0.5488], [0.6667, 0.3333, 0.7500], [0.6667, 0.3333, 0.9512], [0.3333, 0.6667, 0.6221], [0.3333, 0.6667, 0.8779], [0.6667, 0.3333, 0.1221], [0.6667, 0.3333, 0.3779], [0.3333, 0.6667, 0.7500], [0.6667, 0.3333, 0.2500]]
}

(10)
{
  "formula": "Cr5CuGe2O12",
  "functional": "meta-GGA SCAN",
  "state": "PBEsol geometry",
  "total_magnetization_mub_per_cell": 29.925,
  "total_energy_ev_per_atom": -13.17,
  "e_form_raw_ev_per_atom": -2.1658,
  "cell": [[8.4410, -4.1410, 0.0000], [8.4410, 4.1410, 0.0000], [0.0000, 0.0000, 5.9081]],
  "species": ["Cr", "Cr", "Cr", "Cr", "Cr", "Cr", "Cr", "Cr", "Cr", "Cr", "Cu", "Cu", "Ge", "Ge", "Ge", "Ge", "O", "O", "O", "O", "O", "O", "O", "O", "O", "O", "O", "O", "O", "O", "O", "O", "O", "O", "O", "O", "O", "O", "O", "O"],
  "frac_coords": [[0.0000, 0.0000, 0.0000], [0.0000, 0.0000, 0.5000], [0.1635, 0.6643, 0.7500], [0.3279, 0.3279, 0.0000], [0.3279, 0.3279, 0.5000], [0.3357, 0.8365, 0.7500], [0.6643, 0.1635, 0.2500], [0.6721, 0.6721, 0.0000], [0.6721, 0.6721, 0.5000], [0.8365, 0.3357, 0.2500], [0.3768, 0.6232, 0.2500], [0.6232, 0.3768, 0.7500], [0.0231, 0.3114, 0.7500], [0.3114, 0.0231, 0.2500], [0.6886, 0.9769, 0.7500], [0.9769, 0.6886, 0.2500], [0.0781, 0.0842, 0.7500], [0.0842, 0.0781, 0.2500], [0.0970, 0.5751, 0.0024], [0.0970, 0.5751, 0.4976], [0.2327, 0.7673, 0.5299], [0.2327, 0.7673, 0.9701], [0.2372, 0.2600, 0.7500], [0.2600, 0.2372, 0.2500], [0.3840, 0.4231, 0.7500], [0.4231, 0.3840, 0.2500], [0.4249, 0.9030, 0.0024], [0.4249, 0.9030, 0.4976], [0.5751, 0.0970, 0.5024], [0.5751, 0.0970, 0.9976], [0.5769, 0.6160, 0.7500], [0.6160, 0.5769, 0.2500], [0.7400, 0.7628, 0.7500], [0.7628, 0.7400, 0.2500], [0.7673, 0.2327, 0.0299], [0.7673, 0.2327, 0.4701], [0.9030, 0.4249, 0.5024], [0.9030, 0.4249, 0.9976], [0.9158, 0.9219, 0.7500], [0.9219, 0.9158, 0.2500]]
}

(11)
{
  "formula": "YZrTiAu2",
  "functional": "meta-GGA SCAN",
  "state": "PBEsol geometry",
  "formation_enthalpy_0k_kj_per_mol_fu": -4,
  "total_magnetization_mub_per_cell": 0.982,
  "total_energy_ev_per_atom": -42.59,
  "cell": [[4.9713, 0.0000, 0.0000], [0.0000, 4.9713, 0.0000], [0.0000, 0.0000, 4.5722]],
  "species": ["Y", "Zr", "Ti", "Au", "Au"],
  "frac_coords": [[0.0000, 0.0000, 0.0000], [0.5000, 0.5000, 0.0000], [0.5000, 0.5000, 0.5000], [0.0000, 0.5000, 0.5000], [0.5000, 0.0000, 0.5000]]
}

(12)
{
  "formula": "TeMoOs2",
  "functional": "meta-GGA SCAN",
  "state": "PBEsol geometry",
  "total_magnetization_mub_per_cell": 0.000,
  "total_energy_ev_per_atom": -53.29,
  "e_form_raw_ev_per_atom": 0.6829,
  "cell": [[4.0019, 0.0000, 0.0000], [0.0000, 4.0019, 0.0000], [0.0000, 0.0000, 7.8239]],
  "species": ["Te", "Te", "Mo", "Mo", "Os", "Os", "Os", "Os"],
  "frac_coords": [[0.0000, 0.0000, 0.0000], [0.5000, 0.5000, 0.5000], [0.0000, 0.0000, 0.5000], [0.5000, 0.5000, 0.0000], [0.0000, 0.5000, 0.2500], [0.0000, 0.5000, 0.7500], [0.5000, 0.0000, 0.2500], [0.5000, 0.0000, 0.7500]]
}

Question: What is the formula in the eleventh record?
Answer: YZrTiAu2